Density functional theory data (PBE-GGA) for K2CrAg after structural relaxation.

Summary:
Calculated formation energy   15.83 kcal/mol of atoms
Total energy   -2.981 eV per atom
Energy relative to the lowest polymorph listed for this composition   185 meV per atom
Calculated volume   142 Å³/cell
SG   Fm-3m (225)

Cell: 5.8616 5.8616 5.8616 Å, 60.00 60.00 60.00°
Positions (direct):
K 0.2500 0.2500 0.2500
K 0.7500 0.7500 0.7500
Cr 0.0000 0.0000 0.0000
Ag 0.5000 0.5000 0.5000

Density functional theory data (PBE-GGA) for KCr3Ag after structural relaxation.

Summary:
Calculated formation energy   30.37 kcal/mol of atoms
Total energy   -5.247 eV per atom
Energy relative to the lowest polymorph listed for this composition   0 meV per atom
Calculated volume   146 Å³/cell
SG   Pm-3m (221)

Cell: 5.2604 5.2604 5.2604 Å, 90.00 90.00 90.00°
Positions (direct):
Cr 0.0000 0.5000 0.0000
Cr 0.5000 0.0000 0.0000
Cr 0.0000 0.0000 0.5000
K 0.5000 0.5000 0.5000
Ag 0.0000 0.0000 0.0000

Density functional theory data (PBE-GGA) for KCr2Ag after structural relaxation.

Summary:
Calculated formation energy   23.22 kcal/mol of atoms
Total energy   -4.792 eV per atom
Energy relative to the lowest polymorph listed for this composition   429 meV per atom
Calculated volume   98 Å³/cell
SG   Immm (71)

Cell: 6.4644 6.4644 6.4644 Å, 151.82 128.96 59.32°
Positions (direct):
Ag 0.2500 0.7500 0.5000
Cr 0.0379 0.0379 0.0000
Cr 0.4621 0.4621 0.0000
K 0.7500 0.2500 0.5000

Density functional theory data (PBE-GGA) for KMgCr2Ag after structural relaxation.

Summary:
Calculated formation energy   30.93 kcal/mol of atoms
Total energy   -3.617 eV per atom
Calculated volume   166 Å³/cell
SG   P4/mmm (123)

Cell: 5.2468 6.0481 5.2468 Å, 90.00 90.00 90.00°
Positions (direct):
Ag 0.5000 0.5000 0.5000
Cr 0.0000 0.0000 0.5000
Cr 0.5000 0.0000 0.0000
Mg 0.0000 0.0000 0.0000
K 0.0000 0.5000 0.0000

Which of these has the lowest total energy? KCr3Ag

The highest calculated volume belongs to which entry? KMgCr2Ag

Which of these has the lowest calculated formation energy? K2CrAg